CaPr3Mg4: relaxed, PBE-GGA.

abc: 3.934 5.554 11.077
angles: 90.00 90.00 90.00
Element x y z (fractional)
Mg  0.000  0.000  0.500
Mg  0.000  0.500  0.251
Mg  0.000  0.000  0.000
Mg  0.000  0.500  0.749
Ca  0.500  0.500  0.000
Pr  0.500  0.000  0.747
Pr  0.500  0.500  0.500
Pr  0.500  0.000  0.253

Computed properties:
The density of states at the Fermi level comes out at 7.42 states/eV per cell. The formation energy comes out at -0.1065 eV per atom. As for the space group: Pmmm (47).

SrPaTaN4: relaxed, PBE-GGA.

abc: 5.703 5.725 6.965
angles: 90.00 114.17 90.00
Element x y z (fractional)
N  0.415  0.750  0.831
N  0.951  0.250  0.902
N  0.500  0.000  0.500
N  0.000  0.000  0.500
N  0.000  0.500  0.500
N  0.500  0.500  0.500
N  0.049  0.750  0.098
N  0.585  0.250  0.169
Sr  0.396  0.250  0.792
Sr  0.604  0.750  0.208
Pa  0.111  0.250  0.221
Pa  0.889  0.750  0.779
Ta  0.267  0.750  0.533
Ta  0.733  0.250  0.467

Computed properties:
As for the energy relative to the elements, uncorrected: -1.14 eV per atom. The density of states at the Fermi level comes out at 0.65 states/eV per cell. As for the space group: Cmcm (63).

CdBRh3: relaxed, PBE-GGA.

abc: 4.383 4.383 8.352
angles: 90.00 90.00 120.00
Element x y z (fractional)
B  0.000  0.000  0.500
B  0.000  0.000  0.000
Rh  0.667  0.333  0.921
Rh  0.333  0.667  0.079
Rh  0.333  0.667  0.421
Rh  0.667  0.333  0.579
Rh  0.000  0.000  0.750
Rh  0.000  0.000  0.250
Cd  0.667  0.333  0.250
Cd  0.333  0.667  0.750

Computed properties:
The density of states at the Fermi level comes out at 10.48 states/eV per cell. The formation energy comes out at 0.1767 eV per atom. The distance to the lowest polymorph of the same formula comes out at 388 meV/atom. As for the space group: P6_3/mmc (194).

TbHoTc: relaxed, PBE-GGA.

abc: 3.978 4.402 9.385
angles: 76.44 90.00 90.00
Element x y z (fractional)
Ho  0.750  0.917  0.166
Ho  0.250  0.083  0.834
Tb  0.750  0.697  0.607
Tb  0.250  0.303  0.393
Tc  0.750  0.536  0.928
Tc  0.250  0.464  0.072

Computed properties:
The density of states at the Fermi level comes out at 6.89 states/eV per cell. The formation energy comes out at 0.0129 eV per atom. The distance to the lowest polymorph of the same formula comes out at 57 meV/atom. As for the space group: Cmcm (63).

SrDy2Ag: relaxed, PBE-GGA.

abc: 3.677 3.677 9.664
angles: 90.00 90.00 90.00
Element x y z (fractional)
Dy  0.000  0.000  0.819
Dy  0.000  0.000  0.181
Ag  0.500  0.500  0.000
Sr  0.500  0.500  0.500

Computed properties:
The density of states at the Fermi level comes out at 4.86 states/eV per cell. The formation energy comes out at -0.0129 eV per atom. The distance to the lowest polymorph of the same formula comes out at 0 meV/atom. As for the space group: P4/mmm (123).

Tb8YMg6: relaxed, PBE-GGA.

abc: 9.123 9.123 8.343
angles: 56.86 56.86 60.00
Element x y z (fractional)
Mg  0.380  0.048  0.857
Mg  0.952  0.285  0.143
Mg  0.715  0.380  0.857
Mg  0.048  0.715  0.857
Mg  0.285  0.620  0.143
Mg  0.620  0.952  0.143
Tb  0.334  0.334  0.998
Tb  0.116  0.452  0.649
Tb  0.666  0.666  0.002
Tb  0.218  0.884  0.351
Tb  0.782  0.116  0.649
Tb  0.884  0.548  0.351
Tb  0.548  0.218  0.351
Tb  0.452  0.782  0.649
Y  0.000  0.000  0.000

Computed properties:
The density of states at the Fermi level comes out at 21.67 states/eV per cell. The formation energy comes out at 0.1837 eV per atom. As for the space group: R-3 (148).